Entry 1:
{
  "formula": "Mg7AgHg12",
  "functional": "PBE-GGA",
  "state": "relaxed",
  "cell": [[7.198, 4.156, 2.659], [-7.198, 4.156, 2.659], [0.000, -8.311, 2.659]],
  "species": ["Mg", "Mg", "Mg", "Mg", "Mg", "Mg", "Mg", "Ag", "Hg", "Hg", "Hg", "Hg", "Hg", "Hg", "Hg", "Hg", "Hg", "Hg", "Hg", "Hg"],
  "fractional_positions": [[0.000, 0.000, 0.000], [0.111, 0.356, 0.400], [0.356, 0.400, 0.111], [0.400, 0.111, 0.356], [0.600, 0.889, 0.644], [0.644, 0.600, 0.889], [0.889, 0.644, 0.600], [0.500, 0.500, 0.500], [0.015, 0.959, 0.329], [0.041, 0.671, 0.985], [0.186, 0.735, 0.485], [0.265, 0.515, 0.814], [0.329, 0.015, 0.959], [0.485, 0.186, 0.735], [0.515, 0.814, 0.265], [0.671, 0.985, 0.041], [0.735, 0.485, 0.186], [0.814, 0.265, 0.515], [0.959, 0.329, 0.015], [0.985, 0.041, 0.671]],
  "e_tot_ev_per_atom": -0.9491,
  "ef_mev_per_atom": -67.4
}

Entry 2:
{
  "formula": "Mg2AgHg",
  "functional": "PBE-GGA",
  "state": "relaxed",
  "cell": [[3.450, 0.000, 0.000], [0.000, 3.884, 0.000], [0.000, 0.000, 6.070]],
  "species": ["Mg", "Mg", "Ag", "Hg"],
  "fractional_positions": [[0.000, 0.000, 0.000], [0.500, 0.500, 0.292], [0.500, 0.500, 0.802], [0.000, 0.000, 0.515]],
  "e_tot_ev_per_atom": -1.7347,
  "ef_mev_per_atom": -149.1
}

Entry 3:
{
  "formula": "Mg3Ag4Hg",
  "functional": "PBE-GGA",
  "state": "relaxed",
  "cell": [[4.681, 0.000, 0.000], [0.000, 4.681, 0.000], [0.000, 0.000, 6.862]],
  "species": ["Mg", "Mg", "Mg", "Ag", "Ag", "Ag", "Ag", "Hg"],
  "fractional_positions": [[0.000, 0.000, 0.000], [0.000, 0.000, 0.500], [0.500, 0.500, 0.000], [0.000, 0.500, 0.239], [0.000, 0.500, 0.761], [0.500, 0.000, 0.239], [0.500, 0.000, 0.761], [0.500, 0.500, 0.500]],
  "e_tot_ev_per_atom": -2.2358,
  "ef_mev_per_atom": -174.5
}

Entry 4:
{
  "formula": "Mg14AgHg",
  "functional": "PBE-GGA",
  "state": "relaxed",
  "cell": [[6.403, 0.000, 0.000], [0.000, 6.403, 0.000], [0.000, 0.000, 8.595]],
  "species": ["Mg", "Mg", "Mg", "Mg", "Mg", "Mg", "Mg", "Mg", "Mg", "Mg", "Mg", "Mg", "Mg", "Mg", "Ag", "Hg"],
  "fractional_positions": [[0.000, 0.000, 0.000], [0.000, 0.500, 0.000], [0.000, 0.500, 0.500], [0.248, 0.248, 0.259], [0.248, 0.248, 0.741], [0.248, 0.752, 0.259], [0.248, 0.752, 0.741], [0.500, 0.000, 0.000], [0.500, 0.000, 0.500], [0.500, 0.500, 0.000], [0.752, 0.248, 0.259], [0.752, 0.248, 0.741], [0.752, 0.752, 0.259], [0.752, 0.752, 0.741], [0.000, 0.000, 0.500], [0.500, 0.500, 0.500]],
  "e_tot_ev_per_atom": -1.6524,
  "ef_mev_per_atom": -60.1
}

Entry 5:
{
  "formula": "MgAgHg2",
  "functional": "PBE-GGA",
  "state": "relaxed",
  "cell": [[3.745, 0.000, 0.000], [0.000, 3.745, 0.000], [0.000, 0.000, 6.023]],
  "species": ["Mg", "Ag", "Hg", "Hg"],
  "fractional_positions": [[0.000, 0.000, 0.000], [0.500, 0.500, 0.241], [0.000, 0.000, 0.484], [0.500, 0.500, 0.761]],
  "e_tot_ev_per_atom": -1.3468,
  "ef_mev_per_atom": -84.5
}

Entry 6:
{
  "formula": "Mg3AgHg2",
  "functional": "PBE-GGA",
  "state": "relaxed",
  "cell": [[3.317, 0.000, 0.000], [0.000, 3.317, 0.000], [0.000, 0.000, 11.070]],
  "species": ["Mg", "Mg", "Mg", "Ag", "Hg", "Hg"],
  "fractional_positions": [[0.000, 0.000, 0.000], [0.000, 0.000, 0.346], [0.000, 0.000, 0.654], [0.500, 0.500, 0.500], [0.500, 0.500, 0.176], [0.500, 0.500, 0.824]],
  "e_tot_ev_per_atom": -1.5988,
  "ef_mev_per_atom": -225.7
}